DFT (GGA-PBEsol) results for an optimized crystal structure of Cr2SiBr.

Properties
- Excess energy over the best structure of this formula in the dataset: 0.0000 eV per atom
- Uncorrected formation energy: 0.2611 eV per atom
- DOS(E_F): 0.419 states/eV per atom
- Space group: P4mm

a b c (Å): 3.0399 3.0399 7.0542
angles (deg): 90.00 90.00 90.00
Last column: nearest neighbours and their distance in Å.
Positions (direct):
Cr (0.0000, 0.0000, 0.0000)  4 Cr 2.54, 1 Si 2.57, 4 Br 2.70
Cr (0.5000, 0.5000, 0.1921)  4 Si 2.47, 4 Cr 2.54
Si (0.0000, 0.0000, 0.3643)  5 Cr 2.47-2.57
Br (0.5000, 0.5000, 0.7686)  5 Cr 2.70-2.99

=====

DFT (GGA-PBEsol) results for an optimized crystal structure of KTl4In.

Properties
- DOS(E_F): 0.524 states/eV per atom
- Space group: F-43m
- Formation enthalpy at 0 K: 5 kJ/mol of formula units

a b c (Å): 6.3722 6.3722 6.3722
angles (deg): 60.00 60.00 60.00
Last column: nearest neighbours and their distance in Å.
Positions (direct):
K (0.0000, 0.0000, 0.0000)  12 Tl 3.74, 4 In 3.90
Tl (0.3755, 0.3755, 0.3755)  6 Tl 3.17-3.20
Tl (0.3755, 0.3755, 0.8734)  6 Tl 3.17-3.20
Tl (0.3755, 0.8734, 0.3755)  6 Tl 3.17-3.20
Tl (0.8734, 0.3755, 0.3755)  6 Tl 3.17-3.20
In (0.7500, 0.7500, 0.7500)  12 Tl 3.73, 4 K 3.90

=====

DFT (GGA-PBEsol) results for an optimized crystal structure of BaCd2W.

Properties
- DOS(E_F): 0.934 states/eV per atom
- Space group: R-3m
- Formation enthalpy at 0 K: 274 kJ/mol of formula units

a b c (Å): 3.0576 3.0576 32.9208
angles (deg): 90.00 90.00 120.00
Last column: nearest neighbours and their distance in Å.
Positions (direct):
Ba (0.0000, 0.0000, 0.0000)  6 Ba 3.06
Ba (0.3333, 0.6667, 0.6667)  6 Ba 3.06
Ba (0.6667, 0.3333, 0.3333)  6 Ba 3.06
Cd (0.0000, 0.0000, 0.2385)  3 W 2.95, 6 Cd 3.06
Cd (0.0000, 0.0000, 0.7615)  3 W 2.95, 6 Cd 3.06
Cd (0.3333, 0.6667, 0.4282)  3 W 2.95, 6 Cd 3.06
Cd (0.3333, 0.6667, 0.9051)  3 W 2.95, 6 Cd 3.06
Cd (0.6667, 0.3333, 0.0949)  3 W 2.95, 6 Cd 3.06
Cd (0.6667, 0.3333, 0.5718)  3 W 2.95, 6 Cd 3.06
W (0.0000, 0.0000, 0.5000)  6 Cd 2.95, 6 W 3.06
W (0.3333, 0.6667, 0.1667)  6 Cd 2.95, 6 W 3.06
W (0.6667, 0.3333, 0.8333)  6 Cd 2.95, 6 W 3.06